Record 1
{"formula": "Sr4Bi6Se13", "functional": "GGA-PBE", "state": "optimized geometry", "lattice_angstrom": [[17.276, 0.000, 0.000], [0.000, 4.271, 0.000], [-0.152, 0.000, 18.728]], "species": ["Sr", "Sr", "Sr", "Sr", "Sr", "Sr", "Sr", "Sr", "Bi", "Bi", "Bi", "Bi", "Bi", "Bi", "Bi", "Bi", "Bi", "Bi", "Bi", "Bi", "Se", "Se", "Se", "Se", "Se", "Se", "Se", "Se", "Se", "Se", "Se", "Se", "Se", "Se", "Se", "Se", "Se", "Se", "Se", "Se", "Se", "Se", "Se", "Se", "Se", "Se"], "fractional_positions": [[0.011, 0.250, 0.254], [0.257, 0.750, 0.771], [0.271, 0.250, 0.319], [0.487, 0.250, 0.162], [0.513, 0.750, 0.838], [0.729, 0.750, 0.681], [0.743, 0.250, 0.229], [0.989, 0.750, 0.746], [0.083, 0.250, 0.922], [0.106, 0.250, 0.517], [0.173, 0.750, 0.120], [0.312, 0.750, 0.545], [0.330, 0.250, 0.978], [0.490, 0.750, 0.383], [0.510, 0.250, 0.617], [0.670, 0.750, 0.022], [0.688, 0.250, 0.455], [0.827, 0.250, 0.880], [0.894, 0.750, 0.483], [0.917, 0.750, 0.078], [0.023, 0.750, 0.587], [0.040, 0.250, 0.090], [0.117, 0.250, 0.778], [0.142, 0.750, 0.264], [0.195, 0.750, 0.437], [0.199, 0.750, 0.945], [0.233, 0.250, 0.626], [0.280, 0.250, 0.138], [0.376, 0.250, 0.835], [0.394, 0.250, 0.462], [0.395, 0.750, 0.264], [0.420, 0.750, 0.676], [0.431, 0.750, 0.015], [0.569, 0.250, 0.985], [0.580, 0.250, 0.324], [0.605, 0.250, 0.736], [0.606, 0.750, 0.538], [0.624, 0.750, 0.165], [0.720, 0.750, 0.862], [0.767, 0.750, 0.374], [0.801, 0.250, 0.055], [0.805, 0.250, 0.563], [0.858, 0.250, 0.736], [0.883, 0.750, 0.222], [0.960, 0.750, 0.910], [0.977, 0.250, 0.413]], "raw_formation_energy_ev_per_atom": -0.972, "final_energy_ev_per_atom": -4.247, "vol_a3_per_cell": 1381.8}



Record 2
{"formula": "HfVCoTc2", "functional": "GGA-PBE", "state": "optimized geometry", "lattice_angstrom": [[4.414, 0.000, 0.000], [0.000, 4.414, 0.000], [0.000, 0.000, 4.566]], "species": ["Hf", "V", "Co", "Tc", "Tc"], "fractional_positions": [[0.000, 0.000, 0.000], [0.500, 0.500, 0.000], [0.000, 0.000, 0.500], [0.000, 0.500, 0.500], [0.500, 0.000, 0.500]], "final_energy_ev_per_atom": -8.352, "formation_enthalpy_0k_kj_per_mol_atoms": 99.4, "vol_a3_per_cell": 88.9}